1.
! GGA-PBE LiPmZn, relaxed; values from VASP
! Magnetic moment   0.34 μB/cell
! VASP energy   -2.58 eV/atom
&SYSTEM
  ibrav = 0, nat = 3, ntyp = 3
/
ATOMIC_SPECIES
Li 6.94 Li.upf
Pm 145.00 Pm.upf
Zn 65.41 Zn.upf
ATOMIC_POSITIONS crystal
Li 0.0000 0.0000 0.0000
Pm 0.5000 0.5000 0.5000
Zn 0.2500 0.2500 0.2500
CELL_PARAMETERS angstrom
0.0000 3.3596 3.3596
3.3596 0.0000 3.3596
3.3596 3.3596 0.0000

2.
! GGA-PBE YMgGaCo, relaxed; values from VASP
! Magnetic moment   0.31 μB/cell
! VASP energy   -4.62 eV/atom
&SYSTEM
  ibrav = 0, nat = 4, ntyp = 4
/
ATOMIC_SPECIES
Y 88.91 Y.upf
Mg 24.30 Mg.upf
Ga 69.72 Ga.upf
Co 58.93 Co.upf
ATOMIC_POSITIONS crystal
Y 0.0000 0.0000 0.0000
Mg 0.7500 0.7500 0.7500
Ga 0.2500 0.2500 0.2500
Co 0.5000 0.5000 0.5000
CELL_PARAMETERS angstrom
0.0000 3.2828 3.2828
3.2828 0.0000 3.2828
3.2828 3.2828 0.0000

Please write out number 1 again, unchanged.
! GGA-PBE LiPmZn, relaxed; values from VASP
! Magnetic moment   0.34 μB/cell
! VASP energy   -2.58 eV/atom
&SYSTEM
  ibrav = 0, nat = 3, ntyp = 3
/
ATOMIC_SPECIES
Li 6.94 Li.upf
Pm 145.00 Pm.upf
Zn 65.41 Zn.upf
ATOMIC_POSITIONS crystal
Li 0.0000 0.0000 0.0000
Pm 0.5000 0.5000 0.5000
Zn 0.2500 0.2500 0.2500
CELL_PARAMETERS angstrom
0.0000 3.3596 3.3596
3.3596 0.0000 3.3596
3.3596 3.3596 0.0000